YMg3: relaxed, PBEsol.

Energy of formation from the pure elements ... -0.191 eV per formula unit

POSCAR file:
```
YMg3
1.0
3.338 0.000 0.000
0.000 3.338 0.000
0.000 0.000 8.804
Y Mg
1 3
Cartesian
0.000 0.000 0.000
0.000 0.000 4.402
1.669 1.669 2.349
1.669 1.669 6.456
```

---

PdSCl: relaxed, PBEsol.

ΔE_f (raw) ... -0.407 eV/atom

POSCAR file:
```
PdSCl
1.0
7.631 0.000 0.000
0.000 11.894 0.000
-3.251 0.000 8.702
Pd S Cl
12 12 12
Cartesian
0.396 1.512 0.230
0.396 4.435 0.230
-0.505 2.974 8.111
1.474 1.534 3.284
1.474 4.413 3.284
0.531 8.921 6.229
3.850 2.974 2.473
2.906 7.482 5.417
2.906 10.360 5.417
4.886 8.921 0.591
3.985 7.459 8.472
3.985 10.382 8.472
-0.528 1.908 2.280
-0.528 4.039 2.280
1.989 0.376 1.402
1.989 5.571 1.402
0.660 7.405 7.916
0.660 10.436 7.916
3.721 1.458 0.786
3.721 4.489 0.786
2.392 6.323 7.300
2.392 11.518 7.300
4.909 7.855 6.422
4.909 9.986 6.422
-1.613 1.245 6.925
-1.613 4.702 6.925
1.188 8.921 0.768
0.689 7.182 4.623
0.689 10.660 4.623
0.851 2.974 5.059
3.530 8.921 3.643
3.692 1.235 4.079
3.692 4.713 4.079
3.193 2.974 7.934
5.994 7.192 1.777
5.994 10.649 1.777
```

---

BaCrTe2N: relaxed, PBEsol.

ΔE_f (raw) ... 1.353 eV/atom

POSCAR file:
```
BaCrTe2N
1.0
6.367 0.000 0.000
0.000 6.367 0.000
0.000 0.000 4.375
Ba Cr Te N
1 1 2 1
Cartesian
0.000 0.000 0.000
3.183 3.183 2.187
0.000 3.183 0.000
3.183 0.000 0.000
0.000 0.000 2.187
```

---

LiTi2Co: relaxed, PBEsol.

Energy of formation from the pure elements ... 1.080 eV per formula unit

POSCAR file:
```
LiTi2Co
1.0
6.676 0.000 0.000
0.000 6.676 0.000
0.000 0.000 5.190
Li Ti Co
4 8 4
Cartesian
0.000 0.000 0.000
0.000 3.338 1.298
3.338 0.000 3.893
3.338 3.338 2.595
1.433 5.007 3.244
1.669 1.433 1.946
1.669 1.905 4.541
1.905 5.007 0.649
4.771 1.669 0.649
5.007 4.771 4.541
5.007 5.243 1.946
5.243 1.669 3.244
0.000 0.000 2.595
0.000 3.338 3.893
3.338 0.000 1.298
3.338 3.338 0.000
```

---

LaSc2Cd: relaxed, PBEsol.

Energy of formation from the pure elements ... -0.374 eV per formula unit

POSCAR file:
```
LaSc2Cd
1.0
3.542 0.000 0.000
0.000 5.421 0.000
0.000 0.000 10.697
La Sc Cd
2 4 2
Cartesian
0.000 0.000 0.000
1.771 2.710 5.349
0.000 2.710 2.414
0.000 2.710 8.284
1.771 0.000 2.935
1.771 0.000 7.762
0.000 0.000 5.349
1.771 2.710 0.000
```

---

LiSc2P: relaxed, PBEsol.

Energy of formation from the pure elements ... -2.479 eV per formula unit

POSCAR file:
```
LiSc2P
1.0
4.296 0.000 0.000
0.000 4.296 0.000
0.000 0.000 3.620
Li Sc P
1 2 1
Cartesian
0.000 0.000 0.000
0.000 2.148 1.810
2.148 0.000 1.810
2.148 2.148 0.000
```

---

| no. | E (eV/atom) |
| --- | --- |
| 1 | -3.04 |
| 2 | -4.52 |
| 3 | -4.24 |
| 4 | -6.32 |
| 5 | -5.03 |
| 6 | -5.86 |